Tl2Os3O10 | PBE-GGA | optimized geometry

a = 9.741 Å, b = 9.741 Å, c = 8.003 Å
α = 111.71°, β = 111.71°, γ = 35.60°
Sites, in units of the cell vectors:
Tl  0.105  0.105  0.226
Tl  0.203  0.203  0.803
Tl  0.797  0.797  0.197
Tl  0.895  0.895  0.774
Os  0.265  0.735  0.500
Os  0.317  0.317  0.486
Os  0.416  0.416  0.014
Os  0.584  0.584  0.986
Os  0.683  0.683  0.514
Os  0.735  0.265  0.500
O  0.000  0.500  0.500
O  0.023  0.023  0.657
O  0.121  0.610  0.036
O  0.171  0.617  0.491
O  0.271  0.271  0.245
O  0.301  0.699  0.000
O  0.366  0.366  0.760
O  0.383  0.829  0.509
O  0.390  0.879  0.964
O  0.471  0.471  0.298
O  0.500  0.000  0.500
O  0.529  0.529  0.702
O  0.610  0.121  0.036
O  0.617  0.171  0.491
O  0.634  0.634  0.240
O  0.699  0.301  0.000
O  0.729  0.729  0.755
O  0.829  0.383  0.509
O  0.879  0.390  0.964
O  0.977  0.977  0.343

Results
raw formation energy	-13.607	eV per formula unit
space-group type	C2/m, No. 12


Nd4Ho2Er2Tm | PBE-GGA | optimized geometry

a = 8.027 Å, b = 8.027 Å, c = 8.015 Å
α = 107.50°, β = 107.50°, γ = 36.81°
Sites, in units of the cell vectors:
Nd  0.054  0.054  0.330
Nd  0.277  0.277  0.668
Nd  0.723  0.723  0.332
Nd  0.946  0.946  0.670
Ho  0.389  0.389  0.330
Ho  0.611  0.611  0.670
Er  0.167  0.167  0.000
Er  0.833  0.833  0.000
Tm  0.500  0.500  0.000

Results
space-group type	C2/m, No. 12
ΔE_f	0.023	eV per atom


CeSmTm4 | PBE-GGA | optimized geometry

a = 6.493 Å, b = 6.493 Å, c = 10.390 Å
α = 90.00°, β = 90.00°, γ = 120.21°
Sites, in units of the cell vectors:
Ce  0.000  0.000  0.000
Ce  0.000  0.000  0.500
Sm  0.169  0.831  0.750
Sm  0.831  0.169  0.250
Tm  0.166  0.345  0.750
Tm  0.338  0.662  0.068
Tm  0.338  0.662  0.432
Tm  0.345  0.166  0.250
Tm  0.655  0.834  0.750
Tm  0.662  0.338  0.568
Tm  0.662  0.338  0.932
Tm  0.834  0.655  0.250

Results
energy above the most stable polymorph in this dataset	27.1	meV per atom
space-group type	Cmcm, No. 63
ΔE_f	0.249	eV per atom


ErThS3 | PBE-GGA | optimized geometry

a = 7.414 Å, b = 3.971 Å, c = 15.056 Å
α = 90.00°, β = 90.00°, γ = 90.00°
Sites, in units of the cell vectors:
Er  0.238  0.250  0.044
Er  0.262  0.750  0.544
Er  0.738  0.250  0.456
Er  0.762  0.750  0.956
Th  0.128  0.750  0.295
Th  0.372  0.250  0.795
Th  0.628  0.750  0.205
Th  0.872  0.250  0.705
S  0.012  0.750  0.106
S  0.127  0.250  0.436
S  0.152  0.750  0.720
S  0.348  0.250  0.220
S  0.373  0.750  0.936
S  0.488  0.250  0.606
S  0.512  0.750  0.394
S  0.627  0.250  0.064
S  0.652  0.750  0.780
S  0.848  0.250  0.280
S  0.873  0.750  0.564
S  0.988  0.250  0.894

Results
energy above the most stable polymorph in this dataset	0.0	meV per atom
raw formation energy	-9.993	eV per formula unit
space-group type	Pnma, No. 62


KPd2Pb8 | PBE-GGA | optimized geometry

a = 6.730 Å, b = 6.730 Å, c = 9.014 Å
α = 90.00°, β = 90.00°, γ = 90.00°
Sites, in units of the cell vectors:
K  0.000  0.000  0.000
Pd  0.000  0.500  0.500
Pd  0.500  0.000  0.500
Pb  0.253  0.253  0.317
Pb  0.253  0.253  0.683
Pb  0.253  0.747  0.317
Pb  0.253  0.747  0.683
Pb  0.747  0.253  0.317
Pb  0.747  0.253  0.683
Pb  0.747  0.747  0.317
Pb  0.747  0.747  0.683

Results
energy above the most stable polymorph in this dataset	60.3	meV per atom
space-group type	P4/mmm, No. 123
ΔE_f	-0.031	eV per atom


YZnW2 | PBE-GGA | optimized geometry

a = 10.100 Å, b = 10.100 Å, c = 10.100 Å
α = 16.53°, β = 16.53°, γ = 16.53°
Sites, in units of the cell vectors:
Y  0.000  0.000  0.000
Zn  0.500  0.500  0.500
W  0.241  0.241  0.241
W  0.759  0.759  0.759

Results
space-group type	R-3m, No. 166
ΔE_f	0.697	eV per atom


CuH2SO5 | PBE-GGA | optimized geometry

a = 5.041 Å, b = 5.325 Å, c = 7.817 Å
α = 108.55°, β = 105.85°, γ = 93.34°
Sites, in units of the cell vectors:
Cu  0.000  0.000  0.000
Cu  0.500  0.000  0.500
H  0.002  0.750  0.328
H  0.209  0.626  0.219
H  0.791  0.374  0.781
H  0.998  0.250  0.672
S  0.386  0.690  0.764
S  0.614  0.310  0.236
O  0.159  0.802  0.285
O  0.258  0.753  0.921
O  0.271  0.417  0.628
O  0.303  0.306  0.152
O  0.339  0.900  0.676
O  0.661  0.100  0.324
O  0.697  0.694  0.848
O  0.729  0.583  0.372
O  0.742  0.247  0.079
O  0.841  0.198  0.715

Results
space-group type	P-1, No. 2
E	-98.67	eV per cell


Pr5Al2Zn | PBE-GGA | optimized geometry

a = 9.495 Å, b = 9.495 Å, c = 9.495 Å
α = 130.97°, β = 130.97°, γ = 71.86°
Sites, in units of the cell vectors:
Pr  0.000  0.000  0.000
Pr  0.024  0.524  0.847
Pr  0.177  0.024  0.500
Pr  0.323  0.823  0.847
Pr  0.476  0.323  0.500
Pr  0.500  0.500  0.000
Pr  0.524  0.677  0.500
Pr  0.677  0.177  0.153
Pr  0.823  0.976  0.500
Pr  0.976  0.476  0.153
Al  0.117  0.383  0.500
Al  0.383  0.883  0.267
Al  0.617  0.117  0.733
Al  0.883  0.617  0.500
Zn  0.250  0.250  0.000
Zn  0.750  0.750  0.000

Results
space-group type	I4/mcm, No. 140
ΔE_f	-0.211	eV per atom


TlCu | PBE-GGA | optimized geometry

a = 6.926 Å, b = 6.926 Å, c = 6.926 Å
α = 109.47°, β = 109.47°, γ = 109.47°
Sites, in units of the cell vectors:
Tl  0.000  0.000  0.416
Tl  0.000  0.416  0.000
Tl  0.416  0.000  0.000
Tl  0.584  0.584  0.584
Cu  0.000  0.000  0.781
Cu  0.000  0.781  0.000
Cu  0.219  0.219  0.219
Cu  0.781  0.000  0.000

Results
space-group type	I-43m, No. 217
ΔE_f	0.422	eV per atom


Nd2Ga8Rh | PBE-GGA | optimized geometry

a = 4.377 Å, b = 4.377 Å, c = 11.404 Å
α = 90.00°, β = 90.00°, γ = 90.00°
Sites, in units of the cell vectors:
Nd  0.000  0.000  0.194
Nd  0.000  0.000  0.806
Ga  0.000  0.500  0.000
Ga  0.000  0.500  0.383
Ga  0.000  0.500  0.617
Ga  0.500  0.000  0.000
Ga  0.500  0.000  0.383
Ga  0.500  0.000  0.617
Ga  0.500  0.500  0.194
Ga  0.500  0.500  0.806
Rh  0.000  0.000  0.500

Results
space-group type	P4/mmm, No. 123
ΔE_f	-0.555	eV per atom


Tm6Cd5Sb | PBE-GGA | optimized geometry

a = 9.086 Å, b = 9.086 Å, c = 9.086 Å
α = 146.34°, β = 132.82°, γ = 59.20°
Sites, in units of the cell vectors:
Tm  0.083  0.335  0.748
Tm  0.248  0.000  0.248
Tm  0.413  0.665  0.748
Tm  0.587  0.335  0.252
Tm  0.752  0.000  0.752
Tm  0.917  0.665  0.252
Cd  0.176  0.176  0.000
Cd  0.333  0.833  0.500
Cd  0.500  0.500  0.000
Cd  0.667  0.167  0.500
Cd  0.824  0.824  0.000
Sb  0.000  0.500  0.500

Results
raw formation energy	-4.662	eV per formula unit
space-group type	Immm, No. 71


YMnCrAs2 | PBE-GGA | optimized geometry

a = 4.637 Å, b = 4.637 Å, c = 5.075 Å
α = 90.00°, β = 90.00°, γ = 90.00°
Sites, in units of the cell vectors:
Y  0.000  0.000  0.000
Mn  0.500  0.500  0.000
Cr  0.000  0.000  0.500
As  0.000  0.500  0.500
As  0.500  0.000  0.500

Results
space-group type	P4/mmm, No. 123
ΔE_f	0.397	eV per atom


MnAlCu | PBE-GGA | optimized geometry

a = 4.078 Å, b = 4.078 Å, c = 4.078 Å
α = 60.00°, β = 60.00°, γ = 60.00°
Sites, in units of the cell vectors:
Mn  0.000  0.000  0.000
Al  0.250  0.250  0.250
Cu  0.750  0.750  0.750

Results
space-group type	F-43m, No. 216
ΔE_f	0.354	eV per atom


Dy3Ti5H12 | PBE-GGA | optimized geometry

a = 10.210 Å, b = 10.210 Å, c = 10.210 Å
α = 109.47°, β = 109.47°, γ = 109.47°
Sites, in units of the cell vectors:
Dy  0.125  0.250  0.375
Dy  0.125  0.375  0.750
Dy  0.250  0.375  0.125
Dy  0.250  0.875  0.625
Dy  0.375  0.125  0.250
Dy  0.375  0.750  0.125
Dy  0.625  0.250  0.875
Dy  0.625  0.875  0.750
Dy  0.750  0.125  0.375
Dy  0.750  0.625  0.875
Dy  0.875  0.625  0.250
Dy  0.875  0.750  0.625
Ti  0.000  0.000  0.000
Ti  0.000  0.000  0.500
Ti  0.000  0.500  0.000
Ti  0.000  0.500  0.500
Ti  0.125  0.750  0.875
Ti  0.125  0.875  0.250
Ti  0.250  0.125  0.875
Ti  0.250  0.625  0.375
Ti  0.375  0.250  0.625
Ti  0.375  0.625  0.750
Ti  0.500  0.000  0.000
Ti  0.500  0.000  0.500
Ti  0.500  0.500  0.000
Ti  0.500  0.500  0.500
Ti  0.625  0.375  0.250
Ti  0.625  0.750  0.375
Ti  0.750  0.375  0.625
Ti  0.750  0.875  0.125
Ti  0.875  0.125  0.750
Ti  0.875  0.250  0.125
H  0.044  0.210  0.130
H  0.044  0.334  0.914
H  0.079  0.710  0.666
H  0.079  0.870  0.414
H  0.086  0.630  0.421
H  0.086  0.956  0.666
H  0.130  0.044  0.210
H  0.130  0.586  0.921
H  0.166  0.210  0.579
H  0.166  0.456  0.586
H  0.210  0.130  0.044
H  0.210  0.579  0.166
H  0.290  0.334  0.921
H  0.290  0.456  0.370
H  0.334  0.914  0.044
H  0.334  0.921  0.290
H  0.370  0.290  0.456
H  0.370  0.579  0.914
H  0.414  0.079  0.870
H  0.414  0.834  0.544
H  0.421  0.086  0.630
H  0.421  0.834  0.790
H  0.456  0.370  0.290
H  0.456  0.586  0.166
H  0.544  0.414  0.834
H  0.544  0.630  0.710
H  0.579  0.166  0.210
H  0.579  0.914  0.370
H  0.586  0.166  0.456
H  0.586  0.921  0.130
H  0.630  0.421  0.086
H  0.630  0.710  0.544
H  0.666  0.079  0.710
H  0.666  0.086  0.956
H  0.710  0.544  0.630
H  0.710  0.666  0.079
H  0.790  0.421  0.834
H  0.790  0.870  0.956
H  0.834  0.544  0.414
H  0.834  0.790  0.421
H  0.870  0.414  0.079
H  0.870  0.956  0.790
H  0.914  0.044  0.334
H  0.914  0.370  0.579
H  0.921  0.130  0.586
H  0.921  0.290  0.334
H  0.956  0.666  0.086
H  0.956  0.790  0.870

Results
space-group type	Ia-3d, No. 230
E	-406.05	eV per cell


La2InTe2 | PBE-GGA | optimized geometry

a = 8.816 Å, b = 8.816 Å, c = 4.216 Å
α = 90.00°, β = 90.00°, γ = 90.00°
Sites, in units of the cell vectors:
La  0.157  0.343  0.000
La  0.343  0.843  0.000
La  0.657  0.157  0.000
La  0.843  0.657  0.000
In  0.000  0.000  0.000
In  0.500  0.500  0.000
Te  0.146  0.646  0.500
Te  0.354  0.146  0.500
Te  0.646  0.854  0.500
Te  0.854  0.354  0.500

Results
energy above the most stable polymorph in this dataset	5.0	meV per atom
raw formation energy	-5.261	eV per formula unit
space-group type	P4/mbm, No. 127


Sc3Ag | PBE-GGA | optimized geometry

a = 5.998 Å, b = 5.998 Å, c = 5.998 Å
α = 146.09°, β = 60.36°, γ = 131.66°
Sites, in units of the cell vectors:
Sc  0.000  0.000  0.000
Sc  0.276  0.499  0.777
Sc  0.722  0.499  0.223
Ag  0.500  0.000  0.500

Results
energy above the most stable polymorph in this dataset	19.8	meV per atom
space-group type	Imm2, No. 44
ΔE_f	-0.111	eV per atom


TlRhCl6 | PBE-GGA | optimized geometry

a = 6.632 Å, b = 6.632 Å, c = 6.725 Å
α = 103.44°, β = 103.44°, γ = 105.11°
Sites, in units of the cell vectors:
Tl  0.000  0.000  0.000
Rh  0.000  0.000  0.500
Cl  0.029  0.721  0.228
Cl  0.251  0.251  0.401
Cl  0.279  0.971  0.772
Cl  0.721  0.029  0.228
Cl  0.749  0.749  0.599
Cl  0.971  0.279  0.772

Results
raw formation energy	-4.950	eV per formula unit
space-group type	C2/m, No. 12


Pm3Nd2Zn3 | PBE-GGA | optimized geometry

a = 11.494 Å, b = 11.494 Å, c = 11.494 Å
α = 161.33°, β = 153.32°, γ = 32.76°
Sites, in units of the cell vectors:
Pm  0.000  0.000  0.000
Pm  0.384  0.884  0.500
Pm  0.616  0.116  0.500
Nd  0.228  0.228  0.000
Nd  0.772  0.772  0.000
Zn  0.114  0.614  0.500
Zn  0.500  0.500  0.000
Zn  0.886  0.386  0.500

Results
space-group type	Immm, No. 71
ΔE_f	-0.221	eV per atom